Computed, not measured: an optimized crystal structure of Na12Ag3F5 at the PBE level of DFT.

Computed properties:
D(E_F)	0.1957	states/eV per atom
symmetry	No. 230
formation energy without anion corrections	-24.33	eV/f.u.
uncorrected energy	-2.904	eV/atom

Structure (extended XYZ):
```
80
Lattice="-5.159 -12.378 0.029 5.952 2.334 -11.788 9.022 1.105 9.860" Properties=species:S:1:pos:R:3 pbc="T T T"
Ag -0.510 -8.270 -3.166
Ag 1.077 -8.942 -7.583
Ag 8.168 -2.200 -2.668
Ag 2.838 -2.388 2.231
Ag -1.515 -10.263 1.017
Ag 4.041 -2.907 -4.892
Ag 5.774 -6.032 2.992
Ag 11.330 1.324 -2.916
Ag 6.978 -6.550 -4.131
Ag 1.647 -6.738 0.769
Ag 8.738 0.004 5.684
Ag 10.325 -0.668 1.267
F 3.843 -0.396 -1.952
F 2.976 1.167 -5.894
F 0.000 0.000 0.000
F 0.681 -3.920 -1.704
F 1.931 -5.636 4.944
F 0.396 -5.022 -5.880
F 7.203 0.618 -5.140
F 4.769 -8.025 7.176
F 3.234 -7.410 -3.648
F 5.576 -3.521 5.932
F 4.239 -5.418 -7.832
F 4.908 -4.469 -0.950
F -2.580 -6.189 0.015
F 4.511 0.553 4.930
F 6.581 -1.528 1.749
F 5.046 -0.914 -9.075
F 7.487 1.720 -0.964
F 2.613 -9.557 3.241
F 9.134 -5.018 -0.196
F 5.972 -8.543 0.053
Na -2.805 -8.336 -1.173
Na 5.033 -2.287 -2.085
Na -0.038 -10.976 -1.544
Na -0.471 -5.769 -1.187
Na 7.290 -4.846 -1.452
Na 0.122 -10.617 -5.232
Na 6.907 -1.590 -5.367
Na 5.954 1.036 -9.695
Na 8.944 -4.357 -4.886
Na 1.533 -7.047 -5.058
Na 2.249 -8.390 -1.893
Na 1.263 -7.999 -10.469
Na 8.191 0.804 -3.140
Na 1.139 -3.774 -3.890
Na 8.431 1.497 -6.793
Na 3.924 -4.230 4.598
Na 2.422 -0.392 -0.222
Na 2.445 -4.325 -7.057
Na 3.983 -7.641 -7.778
Na 2.794 -0.306 -3.928
Na 11.130 -1.609 -3.694
Na 4.309 -5.527 -3.092
Na 4.845 -8.677 -4.550
Na 6.007 -8.202 5.319
Na 5.506 -3.412 1.193
Na 4.971 -0.262 2.651
Na 3.809 -0.736 -7.218
Na 5.832 -1.298 5.879
Na -1.315 -7.330 1.794
Na 7.021 -8.633 2.029
Na 7.370 -4.613 5.158
Na 5.891 -4.708 -6.497
Na 7.393 -8.546 -1.677
Na 1.384 -10.435 4.893
Na 1.624 -9.742 1.241
Na 8.552 -0.939 8.569
Na 8.676 -5.165 1.991
Na 0.871 -4.582 2.987
Na 8.282 -1.891 3.159
Na 7.566 -0.548 -0.006
Na 3.861 -9.975 7.795
Na 2.908 -7.349 3.468
Na 10.286 -3.170 -0.712
Na 9.693 1.679 3.333
Na 2.526 -4.093 -0.447
Na 9.853 2.037 -0.355
Na 4.782 -6.652 0.186
Na 12.621 -0.603 -0.726
```

Computed, not measured: an optimized crystal structure of NaAgF6 at the PBE level of DFT.

Computed properties:
symmetry	No. 2
formation energy without anion corrections	-10.06	eV/f.u.
uncorrected energy	-3.182	eV/atom

Structure (extended XYZ):
```
8
Lattice="5.254 0.012 0.008 2.626 4.556 0.008 2.622 1.514 4.933" Properties=species:S:1:pos:R:3 pbc="T T T"
Na 5.251 3.041 2.475
Ag 0.000 0.000 0.000
F 3.301 2.937 3.805
F 6.308 1.402 3.809
F 4.359 1.309 1.137
F 4.194 4.680 1.141
F 7.201 3.145 1.144
F 6.143 4.773 3.813
```